# 1
Compound: BeI
Source: the Alexandria database
Functional: PBE
Structure: relaxed

a = 3.8893 Å, b = 3.8960 Å, c = 4.0266 Å
α = 118.73°, β = 118.75°, γ = 90.04°
Last column: nearest neighbours and their distance in Å.
Positions (direct):
Be1 0.0000 0.0000 0.0000  5 I 2.58-2.80
I1 0.4344 0.4323 0.8727  5 Be 2.58-2.80

Calculated values
E above lowest polymorph ... 588 meV/atom
Crystal system ... triclinic

---

# 2
Compound: BeI
Source: the Alexandria database
Functional: PBE
Structure: relaxed

a = 9.4476 Å, b = 9.4476 Å, c = 5.2534 Å
α = 90.00°, β = 90.00°, γ = 90.00°
Last column: nearest neighbours and their distance in Å.
Positions (direct):
Be1 0.1504 0.3382 0.0000  4 I 2.61-2.68
Be2 0.1618 0.6504 0.5000  4 I 2.61-2.68
Be3 0.3382 0.8496 0.0000  4 I 2.61-2.68
Be4 0.3496 0.1618 0.5000  4 I 2.61-2.68
Be5 0.6504 0.8382 0.5000  4 I 2.61-2.68
Be6 0.6618 0.1504 0.0000  4 I 2.61-2.68
Be7 0.8382 0.3496 0.5000  4 I 2.61-2.68
Be8 0.8496 0.6618 0.0000  4 I 2.61-2.68
I1 0.1107 0.3006 0.5000  4 Be 2.61-2.68
I2 0.1994 0.6107 0.0000  4 Be 2.61-2.68
I3 0.3006 0.8893 0.5000  4 Be 2.61-2.68
I4 0.3893 0.1994 0.0000  4 Be 2.61-2.68
I5 0.6107 0.8006 0.0000  4 Be 2.61-2.68
I6 0.6994 0.1107 0.5000  4 Be 2.61-2.68
I7 0.8006 0.3893 0.0000  4 Be 2.61-2.68
I8 0.8893 0.6994 0.5000  4 Be 2.61-2.68

Calculated values
E above lowest polymorph ... 621 meV/atom
Crystal system ... tetragonal